Record 1
The following is a PBE-GGA calculation of a geometry-optimized Tb4CeIn5 structure, from the Alexandria database.

Properties
Mass density   8.3 g/cm3
E_form   -433.1 kJ/mol of formula units
Size of the total moment   0.988 Bohr magnetons per cell
Crystal system   tetragonal

abc: 3.5896 3.5896 21.0581
angles: 90.00 90.00 90.00
Last column: nearest neighbours and their distance in Å.
Element x y z (fractional)
In1 0.5000 0.5000 0.1045  4 Tb 3.29, 4 Ce 3.36, 4 In 3.59
In2 0.5000 0.5000 0.3022  8 Tb 3.28, 4 In 3.59
Tb1 0.0000 0.0000 0.7962  8 In 3.28-3.29, 4 Tb 3.59
In3 0.5000 0.5000 0.6978  8 Tb 3.28, 4 In 3.59
In4 0.5000 0.5000 0.5000  8 Tb 3.28, 4 In 3.59
Tb2 0.0000 0.0000 0.5989  8 In 3.28, 4 Tb 3.59
Tb3 0.0000 0.0000 0.2038  8 In 3.28-3.29, 4 Tb 3.59
Tb4 0.0000 0.0000 0.4011  8 In 3.28, 4 Tb 3.59
In5 0.5000 0.5000 0.8955  4 Tb 3.29, 4 Ce 3.36, 4 In 3.59
Ce1 0.0000 0.0000 0.0000  8 In 3.36, 4 Ce 3.59



Record 2
The following is a PBE-GGA calculation of a geometry-optimized Tb3Ce2In3 structure, from the Alexandria database.

Properties
Mass density   8.2 g/cm3
E_form   -255.5 kJ/mol of formula units
Size of the total moment   0.578 Bohr magnetons per cell
Crystal system   triclinic

abc: 3.6257 5.4709 11.6319
angles: 77.02 81.04 90.00
Last column: nearest neighbours and their distance in Å.
Element x y z (fractional)
In1 0.3801 0.9885 0.2405  6 Tb 3.22-3.34, 3 Ce 3.29-3.56, 1 In 3.46
Tb1 0.1218 0.5261 0.7559  6 In 3.22-3.34, 1 Tb 3.53
In2 0.5000 0.5000 0.0000  8 Tb 3.28-3.32, 4 In 3.46-3.63
Tb2 0.0000 0.0000 0.0000  8 In 3.28-3.29, 4 Tb 3.53-3.63
Ce1 0.2421 0.1839 0.5154  2 Ce 2.79
In3 0.6199 0.0115 0.7595  6 Tb 3.22-3.34, 3 Ce 3.29-3.56, 1 In 3.46
Ce2 0.7579 0.8161 0.4846  2 Ce 2.79
Tb3 0.8782 0.4739 0.2441  6 In 3.22-3.34, 1 Tb 3.53



Record 3
The following is a PBE-GGA calculation of a geometry-optimized Tb2Ce3In2 structure, from the Alexandria database.

Properties
Mass density   8.1 g/cm3
E_form   -125.4 kJ/mol of formula units
Size of the total moment   2.973 Bohr magnetons per cell
Crystal system   monoclinic

abc: 4.7692 5.9056 7.7376
angles: 95.13 90.00 113.82
Last column: nearest neighbours and their distance in Å.
Element x y z (fractional)
In1 0.0853 0.1706 0.7271  4 Tb 3.27-3.50, 7 Ce 3.34-3.56
Ce1 0.5000 0.0000 0.0000  6 Tb 3.37-3.48, 4 In 3.37, 2 Ce 3.47
Ce2 0.6169 0.2338 0.4333  1 Ce 2.82
Tb1 0.2183 0.4366 0.1510  4 In 3.27-3.50, 6 Ce 3.37-3.52, 2 Tb 3.45
In2 0.9147 0.8294 0.2729  4 Tb 3.27-3.50, 7 Ce 3.34-3.56
Ce3 0.3831 0.7662 0.5667  1 Ce 2.82
Tb2 0.7817 0.5634 0.8490  4 In 3.27-3.50, 6 Ce 3.37-3.52, 2 Tb 3.45



Record 4
The following is a PBE-GGA calculation of a geometry-optimized Tb3CeIn2 structure, from the Alexandria database.

Properties
Mass density   8.4 g/cm3
E_form   -159.5 kJ/mol of formula units
Size of the total moment   1.793 Bohr magnetons per cell
Crystal system   orthorhombic

abc: 5.4230 7.3069 9.6140
angles: 112.33 106.38 90.00
Last column: nearest neighbours and their distance in Å.
Element x y z (fractional)
In1 0.6560 0.1560 0.3120  8 Tb 3.21-3.38
In2 0.3440 0.3440 0.6880  8 Tb 3.21-3.38
Tb1 0.5000 0.7500 0.0000  4 In 3.21, 4 Ce 3.27
In3 0.3440 0.8440 0.6880  8 Tb 3.21-3.38
Ce1 0.0000 0.5000 0.0000  8 Tb 3.27-3.49, 2 Ce 3.65
Tb2 0.5000 0.2500 0.0000  4 In 3.21, 4 Ce 3.27
Tb3 0.1758 0.9258 0.3516  6 In 3.29-3.38, 2 Ce 3.49, 2 Tb 3.65
Tb4 0.8242 0.5742 0.6484  6 In 3.29-3.38, 2 Ce 3.49, 2 Tb 3.65
Ce2 0.0000 0.0000 0.0000  8 Tb 3.27-3.49, 2 Ce 3.65
Tb5 0.1758 0.4258 0.3516  6 In 3.29-3.38, 2 Ce 3.49, 2 Tb 3.65
Tb6 0.8242 0.0742 0.6484  6 In 3.29-3.38, 2 Ce 3.49, 2 Tb 3.65
In4 0.6560 0.6560 0.3120  8 Tb 3.21-3.38



Record 5
The following is a PBE-GGA calculation of a geometry-optimized Tb2CeIn structure, from the Alexandria database.

Properties
Mass density   8.5 g/cm3
E_form   -30.9 kJ/mol of formula units
Size of the total moment   0.015 Bohr magnetons per cell
Crystal system   cubic

abc: 5.4095 5.4095 5.4095
angles: 60.00 60.00 60.00
Last column: nearest neighbours and their distance in Å.
Element x y z (fractional)
Tb1 0.7500 0.7500 0.7500  4 In 3.31, 4 Ce 3.31
In1 0.5000 0.5000 0.5000  8 Tb 3.31
Tb2 0.2500 0.2500 0.2500  4 Ce 3.31, 4 In 3.31
Ce1 0.0000 0.0000 0.0000  8 Tb 3.31



Record 6
The following is a PBE-GGA calculation of a geometry-optimized Tb3CeIn structure, from the Alexandria database.

Properties
Mass density   8.2 g/cm3
E_form   -43.2 kJ/mol of formula units
Size of the total moment   1.816 Bohr magnetons per cell
Crystal system   triclinic

abc: 3.5505 7.7290 11.3178
angles: 100.34 90.00 103.26
Last column: nearest neighbours and their distance in Å.
Element x y z (fractional)
Tb1 0.7770 0.5856 0.4463  3 In 3.32-3.38, 6 Tb 3.50-3.55, 3 Ce 3.51-3.59
Tb2 0.4735 0.9805 0.5630  7 Tb 3.39-3.55, 1 In 3.43, 4 Ce 3.51-3.55
Ce1 0.8640 0.7635 0.7636  4 Ce 3.34-3.55, 8 Tb 3.50-3.59
Ce2 0.1800 0.3906 0.6580  4 Ce 3.34-3.55, 8 Tb 3.51-3.59
Tb3 0.9692 0.9714 0.0673  4 In 3.32-3.43, 7 Tb 3.34-3.55, 1 Ce 3.50
Tb4 0.2670 0.5685 0.9753  3 In 3.32-3.38, 6 Tb 3.50-3.55, 3 Ce 3.51-3.59
In1 0.3793 0.7908 0.2633  8 Tb 3.32-3.43, 4 In 3.55-3.68
In2 0.6647 0.3633 0.1582  8 Tb 3.32-3.43, 4 In 3.55-3.68
Tb5 0.0748 0.1826 0.3543  4 In 3.32-3.43, 7 Tb 3.34-3.55, 1 Ce 3.51
Tb6 0.5705 0.1736 0.8586  7 Tb 3.39-3.55, 1 In 3.43, 4 Ce 3.51-3.55